{"formula": "Pm3DyOs8", "functional": "PBE", "state": "optimized geometry", "lattice_angstrom": [[2.702, 1.560, 8.840], [-2.702, 1.560, 8.840], [0.000, -3.120, 8.840]], "species": ["Pm", "Pm", "Pm", "Dy", "Os", "Os", "Os", "Os", "Os", "Os", "Os", "Os"], "fractional_positions": [[0.000, 0.000, 0.000], [0.125, 0.125, 0.125], [0.626, 0.626, 0.626], [0.501, 0.501, 0.501], [0.064, 0.064, 0.558], [0.064, 0.558, 0.064], [0.064, 0.564, 0.564], [0.314, 0.314, 0.314], [0.558, 0.064, 0.064], [0.564, 0.064, 0.564], [0.564, 0.564, 0.064], [0.814, 0.814, 0.814]], "delta_e_f_ev_per_atom": -0.16, "volume_a3_per_atom": 18.6, "n_ef_per_ev_cell": 13.27}

=====

{"formula": "PmDy2Os", "functional": "PBE", "state": "optimized geometry", "lattice_angstrom": [[7.446, 0.000, 0.000], [0.000, 9.135, 0.000], [0.000, 0.000, 6.411]], "species": ["Pm", "Pm", "Pm", "Pm", "Dy", "Dy", "Dy", "Dy", "Dy", "Dy", "Dy", "Dy", "Os", "Os", "Os", "Os"], "fractional_positions": [[0.040, 0.250, 0.129], [0.460, 0.750, 0.629], [0.540, 0.250, 0.371], [0.960, 0.750, 0.871], [0.174, 0.064, 0.665], [0.174, 0.436, 0.665], [0.326, 0.564, 0.165], [0.326, 0.936, 0.165], [0.674, 0.064, 0.835], [0.674, 0.436, 0.835], [0.826, 0.564, 0.335], [0.826, 0.936, 0.335], [0.116, 0.750, 0.452], [0.384, 0.250, 0.952], [0.616, 0.750, 0.048], [0.884, 0.250, 0.548]], "delta_e_f_ev_per_atom": -0.21, "volume_a3_per_atom": 27.3, "n_ef_per_ev_cell": 13.45, "de_polymorph_mev_per_atom": 0}

=====

{"formula": "PmDyOsRu", "functional": "PBE", "state": "optimized geometry", "lattice_angstrom": [[0.000, 3.446, 3.446], [3.446, 0.000, 3.446], [3.446, 3.446, 0.000]], "species": ["Pm", "Dy", "Os", "Ru"], "fractional_positions": [[0.000, 0.000, 0.000], [0.500, 0.500, 0.500], [0.250, 0.250, 0.250], [0.750, 0.750, 0.750]], "delta_e_f_ev_per_atom": -0.06, "volume_a3_per_atom": 20.5, "n_ef_per_ev_cell": 3.45}

=====

{"formula": "PmDyZnOs", "functional": "PBE", "state": "optimized geometry", "lattice_angstrom": [[0.000, 3.518, 3.518], [3.518, 0.000, 3.518], [3.518, 3.518, 0.000]], "species": ["Pm", "Dy", "Zn", "Os"], "fractional_positions": [[0.000, 0.000, 0.000], [0.500, 0.500, 0.500], [0.750, 0.750, 0.750], [0.250, 0.250, 0.250]], "delta_e_f_ev_per_atom": -0.20, "volume_a3_per_atom": 21.8, "n_ef_per_ev_cell": 3.65}

=====

{"formula": "PrDyOs", "functional": "PBE", "state": "optimized geometry", "lattice_angstrom": [[0.000, 3.445, 3.445], [3.445, 0.000, 3.445], [3.445, 3.445, 0.000]], "species": ["Pr", "Dy", "Os"], "fractional_positions": [[0.000, 0.000, 0.000], [0.500, 0.500, 0.500], [0.250, 0.250, 0.250]], "delta_e_f_ev_per_atom": -0.10, "volume_a3_per_atom": 27.3, "n_ef_per_ev_cell": 1.74, "de_polymorph_mev_per_atom": 4}

=====

{"formula": "Pr2DyOs", "functional": "PBE", "state": "optimized geometry", "lattice_angstrom": [[7.469, 0.000, 0.000], [0.000, 9.618, 0.000], [0.000, 0.000, 6.490]], "species": ["Pr", "Pr", "Pr", "Pr", "Pr", "Pr", "Pr", "Pr", "Dy", "Dy", "Dy", "Dy", "Os", "Os", "Os", "Os"], "fractional_positions": [[0.176, 0.065, 0.172], [0.176, 0.435, 0.172], [0.324, 0.565, 0.672], [0.324, 0.935, 0.672], [0.676, 0.065, 0.328], [0.676, 0.435, 0.328], [0.824, 0.565, 0.828], [0.824, 0.935, 0.828], [0.044, 0.250, 0.644], [0.456, 0.750, 0.144], [0.544, 0.250, 0.856], [0.956, 0.750, 0.356], [0.116, 0.750, 0.964], [0.384, 0.250, 0.464], [0.616, 0.750, 0.536], [0.884, 0.250, 0.036]], "delta_e_f_ev_per_atom": -0.12, "volume_a3_per_atom": 29.1, "n_ef_per_ev_cell": 15.22, "de_polymorph_mev_per_atom": 0}

=====

{"formula": "PrDyOs4", "functional": "PBE", "state": "optimized geometry", "lattice_angstrom": [[0.000, 3.827, 3.827], [3.827, 0.000, 3.827], [3.827, 3.827, 0.000]], "species": ["Pr", "Dy", "Os", "Os", "Os", "Os"], "fractional_positions": [[0.000, 0.000, 0.000], [0.750, 0.750, 0.750], [0.375, 0.375, 0.375], [0.375, 0.375, 0.874], [0.375, 0.874, 0.375], [0.874, 0.375, 0.375]], "delta_e_f_ev_per_atom": -0.14, "volume_a3_per_atom": 18.7, "n_ef_per_ev_cell": 6.13}

=====

{"formula": "PrDy2Os", "functional": "PBE", "state": "optimized geometry", "lattice_angstrom": [[1.763, 1.018, 10.951], [-1.763, 1.018, 10.951], [0.000, -2.036, 10.951]], "species": ["Pr", "Dy", "Dy", "Os"], "fractional_positions": [[0.000, 0.000, 0.000], [0.108, 0.108, 0.108], [0.892, 0.892, 0.892], [0.500, 0.500, 0.500]], "delta_e_f_ev_per_atom": 0.25, "volume_a3_per_atom": 29.5, "n_ef_per_ev_cell": 5.81, "de_polymorph_mev_per_atom": 435}

=====

Repeat the eighth record exactly.
{"formula": "PrDy2Os", "functional": "PBE", "state": "optimized geometry", "lattice_angstrom": [[1.763, 1.018, 10.951], [-1.763, 1.018, 10.951], [0.000, -2.036, 10.951]], "species": ["Pr", "Dy", "Dy", "Os"], "fractional_positions": [[0.000, 0.000, 0.000], [0.108, 0.108, 0.108], [0.892, 0.892, 0.892], [0.500, 0.500, 0.500]], "delta_e_f_ev_per_atom": 0.25, "volume_a3_per_atom": 29.5, "n_ef_per_ev_cell": 5.81, "de_polymorph_mev_per_atom": 435}

=====

Repeat the seventh record exactly.
{"formula": "PrDyOs4", "functional": "PBE", "state": "optimized geometry", "lattice_angstrom": [[0.000, 3.827, 3.827], [3.827, 0.000, 3.827], [3.827, 3.827, 0.000]], "species": ["Pr", "Dy", "Os", "Os", "Os", "Os"], "fractional_positions": [[0.000, 0.000, 0.000], [0.750, 0.750, 0.750], [0.375, 0.375, 0.375], [0.375, 0.375, 0.874], [0.375, 0.874, 0.375], [0.874, 0.375, 0.375]], "delta_e_f_ev_per_atom": -0.14, "volume_a3_per_atom": 18.7, "n_ef_per_ev_cell": 6.13}